VASP calculation (PBE+U) on a relaxed structure of NdCoO4.

Computed properties:
* VASP energy: -6.61 eV per atom

```
12
Lattice="-1.7435 -5.1595 2.1895 4.2537 1.7825 -5.1338 2.6695 2.8924 5.6664" Properties=species:S:1:pos:R:3 pbc="T T T"
O 0.9586 -1.4025 -0.1490
O 1.3471 0.5409 1.8120
O 3.8326 -1.0254 0.9102
O 4.1892 1.3176 -0.2053
O 0.9905 -1.8022 2.9274
O 4.2210 0.9179 2.8711
O 2.1134 -1.0962 6.2376
O 3.0663 0.6116 -3.5155
Nd 2.2614 0.0803 4.0649
Nd 2.9183 -0.5649 -1.3427
Co 0.5423 -0.9747 1.4907
Co 4.6374 0.4901 1.2315
```